## YIO2F (PBE-GGA)

Data for crystalline YIO2F at its relaxed geometry.

Properties
Fermi-level density of states (states/eV/f.u.): 5.55
Crystal system: tetragonal
Energy (eV per atom): -5.14

a = 4.2842 Å, b = 4.2842 Å, c = 6.7445 Å
α = 90.00°, β = 90.00°, γ = 90.00°
Last column: nearest neighbours and their distance in Å.
Sites, in units of the cell vectors:
I1 0.0000 0.0000 0.5000  4 F 3.03, 2 Y 3.37
Y1 0.0000 0.0000 0.0000  4 O 2.14
O1 0.0000 0.5000 0.0000  2 Y 2.14
O2 0.5000 0.0000 0.0000  2 Y 2.14
F1 0.5000 0.5000 0.5000  4 I 3.03